{"formula": "AcPmZn3", "functional": "PBE-GGA", "state": "relaxed", "spacegroup": "No. 63", "formation_enthalpy_0k_mev_per_atom": -280, "e_tot_ev_per_cell": -28.16, "lattice_angstrom": [[1.916, -14.005, 0.000], [1.916, 14.005, 0.000], [0.000, 0.000, 4.689]], "species": ["Ac", "Ac", "Pm", "Pm", "Zn", "Zn", "Zn", "Zn", "Zn", "Zn"], "fractional_positions": [[0.074, 0.926, 0.750], [0.926, 0.074, 0.250], [0.209, 0.791, 0.250], [0.791, 0.209, 0.750], [0.324, 0.676, 0.250], [0.378, 0.622, 0.750], [0.476, 0.524, 0.750], [0.524, 0.476, 0.250], [0.622, 0.378, 0.250], [0.676, 0.324, 0.750]]}

=====

{"formula": "K2PtW", "functional": "PBE-GGA", "state": "relaxed", "spacegroup": "No. 225", "formation_enthalpy_0k_mev_per_atom": 1697, "e_tot_ev_per_cell": -57.61, "lattice_angstrom": [[7.687, 0.000, 0.000], [0.000, 7.687, 0.000], [0.000, 0.000, 7.687]], "species": ["K", "K", "K", "K", "K", "K", "K", "K", "Pt", "Pt", "Pt", "Pt", "W", "W", "W", "W"], "fractional_positions": [[0.250, 0.250, 0.250], [0.250, 0.250, 0.750], [0.250, 0.750, 0.250], [0.250, 0.750, 0.750], [0.750, 0.250, 0.250], [0.750, 0.250, 0.750], [0.750, 0.750, 0.250], [0.750, 0.750, 0.750], [0.000, 0.000, 0.000], [0.000, 0.500, 0.500], [0.500, 0.000, 0.500], [0.500, 0.500, 0.000], [0.000, 0.000, 0.500], [0.000, 0.500, 0.000], [0.500, 0.000, 0.000], [0.500, 0.500, 0.500]]}

=====

{"formula": "Nb2Sn2Au", "functional": "PBE-GGA", "state": "relaxed", "spacegroup": "No. 127", "formation_enthalpy_0k_mev_per_atom": 167, "e_tot_ev_per_cell": -61.18, "lattice_angstrom": [[7.801, 0.000, 0.000], [0.000, 7.801, 0.000], [0.000, 0.000, 3.480]], "species": ["Nb", "Nb", "Nb", "Nb", "Sn", "Sn", "Sn", "Sn", "Au", "Au"], "fractional_positions": [[0.121, 0.379, 0.000], [0.379, 0.879, 0.000], [0.621, 0.121, 0.000], [0.879, 0.621, 0.000], [0.171, 0.671, 0.500], [0.329, 0.171, 0.500], [0.671, 0.829, 0.500], [0.829, 0.329, 0.500], [0.000, 0.000, 0.500], [0.500, 0.500, 0.500]]}

=====

{"formula": "CrTe2HN", "functional": "PBE-GGA", "state": "relaxed", "spacegroup": "No. 123", "e_tot_ev_per_cell": -24.54, "lattice_angstrom": [[5.182, 0.000, 0.000], [0.000, 5.182, 0.000], [0.000, 0.000, 3.491]], "species": ["Cr", "Te", "Te", "H", "N"], "fractional_positions": [[0.000, 0.000, 0.000], [0.000, 0.500, 0.000], [0.500, 0.000, 0.000], [0.500, 0.500, 0.500], [0.000, 0.000, 0.500]]}

=====

{"formula": "MgZnW3", "functional": "PBE-GGA", "state": "relaxed", "spacegroup": "No. 221", "formation_enthalpy_0k_mev_per_atom": 2548, "e_tot_ev_per_cell": -28.99, "lattice_angstrom": [[4.570, 0.000, 0.000], [0.000, 4.570, 0.000], [0.000, 0.000, 4.570]], "species": ["Mg", "Zn", "W", "W", "W"], "fractional_positions": [[0.000, 0.000, 0.000], [0.500, 0.500, 0.500], [0.000, 0.000, 0.500], [0.000, 0.500, 0.000], [0.500, 0.000, 0.000]]}

=====

{"formula": "NpFeSn", "functional": "PBE-GGA", "state": "relaxed", "spacegroup": "No. 11", "formation_enthalpy_0k_mev_per_atom": -22, "e_tot_ev_per_cell": -50.94, "lattice_angstrom": [[4.742, 0.000, 0.000], [0.000, 4.434, 0.000], [-1.850, 0.000, 5.517]], "species": ["Np", "Np", "Fe", "Fe", "Sn", "Sn"], "fractional_positions": [[0.057, 0.250, 0.167], [0.943, 0.750, 0.833], [0.165, 0.750, 0.457], [0.835, 0.250, 0.543], [0.412, 0.250, 0.752], [0.588, 0.750, 0.248]]}

=====

{"formula": "Tb4CeNd", "functional": "PBE-GGA", "state": "relaxed", "spacegroup": "No. 10", "formation_enthalpy_0k_mev_per_atom": 51, "e_tot_ev_per_cell": -28.91, "lattice_angstrom": [[6.208, 0.000, 0.000], [0.000, 3.566, 0.000], [-0.007, 0.000, 8.749]], "species": ["Tb", "Tb", "Tb", "Tb", "Ce", "Nd"], "fractional_positions": [[0.164, 0.000, 0.169], [0.330, 0.500, 0.836], [0.670, 0.500, 0.164], [0.836, 0.000, 0.831], [0.000, 0.500, 0.500], [0.500, 0.000, 0.500]]}

=====

{"formula": "Na2Cu2Te", "functional": "PBE-GGA", "state": "relaxed", "spacegroup": "No. 127", "e_tot_ev_per_cell": -28.92, "raw_formation_energy_kj_per_mol_atoms": -9, "lattice_angstrom": [[6.894, 0.000, 0.000], [0.000, 6.894, 0.000], [0.000, 0.000, 4.579]], "species": ["Na", "Na", "Na", "Na", "Cu", "Cu", "Cu", "Cu", "Te", "Te"], "fractional_positions": [[0.176, 0.324, 0.000], [0.324, 0.824, 0.000], [0.676, 0.176, 0.000], [0.824, 0.676, 0.000], [0.122, 0.622, 0.500], [0.378, 0.122, 0.500], [0.622, 0.878, 0.500], [0.878, 0.378, 0.500], [0.000, 0.000, 0.500], [0.500, 0.500, 0.500]]}

=====

{"formula": "InH2N", "functional": "PBE-GGA", "state": "relaxed", "spacegroup": "No. 141", "e_tot_ev_per_cell": -62.27, "lattice_angstrom": [[4.715, 0.000, 0.000], [0.000, 4.715, 0.000], [0.000, 0.000, 6.579]], "species": ["In", "In", "In", "In", "H", "H", "H", "H", "H", "H", "H", "H", "N", "N", "N", "N"], "fractional_positions": [[0.000, 0.250, 0.375], [0.000, 0.750, 0.625], [0.500, 0.250, 0.125], [0.500, 0.750, 0.875], [0.000, 0.000, 0.000], [0.000, 0.500, 0.000], [0.250, 0.250, 0.750], [0.250, 0.750, 0.250], [0.500, 0.000, 0.500], [0.500, 0.500, 0.500], [0.750, 0.250, 0.750], [0.750, 0.750, 0.250], [0.000, 0.250, 0.875], [0.000, 0.750, 0.125], [0.500, 0.250, 0.625], [0.500, 0.750, 0.375]]}

=====

{"formula": "Fe2PbW", "functional": "PBE-GGA", "state": "relaxed", "spacegroup": "No. 12", "formation_enthalpy_0k_mev_per_atom": 644, "e_tot_ev_per_cell": -62.02, "lattice_angstrom": [[8.471, 0.000, 0.000], [0.000, 3.059, 0.000], [-0.864, 0.000, 5.109]], "species": ["Fe", "Fe", "Fe", "Fe", "Pb", "Pb", "W", "W"], "fractional_positions": [[0.237, 0.000, 0.185], [0.263, 0.500, 0.815], [0.737, 0.500, 0.185], [0.763, 0.000, 0.815], [0.000, 0.000, 0.500], [0.500, 0.500, 0.500], [0.000, 0.500, 0.000], [0.500, 0.000, 0.000]]}

=====

{"formula": "Mg2SeCl", "functional": "PBE-GGA", "state": "relaxed", "spacegroup": "No. 123", "e_tot_ev_per_cell": -11.51, "raw_formation_energy_kj_per_mol_atoms": -72, "lattice_angstrom": [[3.476, 0.000, 0.000], [0.000, 3.476, 0.000], [0.000, 0.000, 6.986]], "species": ["Mg", "Mg", "Se", "Cl"], "fractional_positions": [[0.000, 0.000, 0.216], [0.000, 0.000, 0.784], [0.500, 0.500, 0.000], [0.500, 0.500, 0.500]]}

=====

{"formula": "Tb8As3PtSe4", "functional": "PBE-GGA", "state": "relaxed", "spacegroup": "No. 166", "e_tot_ev_per_cell": -97.23, "raw_formation_energy_kj_per_mol_atoms": -158, "lattice_angstrom": [[4.118, 2.377, 6.773], [-4.118, 2.377, 6.773], [0.000, -4.755, 6.773]], "species": ["Tb", "Tb", "Tb", "Tb", "Tb", "Tb", "Tb", "Tb", "As", "As", "As", "Pt", "Se", "Se", "Se", "Se"], "fractional_positions": [[0.246, 0.246, 0.246], [0.250, 0.744, 0.744], [0.256, 0.256, 0.750], [0.256, 0.750, 0.256], [0.744, 0.250, 0.744], [0.744, 0.744, 0.250], [0.750, 0.256, 0.256], [0.754, 0.754, 0.754], [0.000, 0.000, 0.500], [0.000, 0.500, 0.000], [0.500, 0.000, 0.000], [0.500, 0.500, 0.500], [0.000, 0.000, 0.000], [0.000, 0.500, 0.500], [0.500, 0.000, 0.500], [0.500, 0.500, 0.000]]}

=====

Number 1: M_tot 0.000 μB per atom. Number 2: M_tot 1.174 μB per atom. Number 3: M_tot 0.000 μB per atom. Number 4: M_tot 0.000 μB per atom. Number 5: M_tot 0.000 μB per atom. Number 6: M_tot 0.686 μB per atom. Number 7: M_tot 0.142 μB per atom. Number 8: M_tot 0.000 μB per atom. Number 9: M_tot 0.000 μB per atom. Number 10: M_tot 0.894 μB per atom. Number 11: M_tot 0.000 μB per atom. Number 12: M_tot 0.000 μB per atom.